(1)
The following is a PBE calculation of a relaxed structure of Mg2Ti2Al, from Alexandria via LeMat-Bulk.

polymorph energy (0 for the lowest one) = 100 meV per atom

a b c (Å): 3.892 3.892 13.247
angles (deg): 90.00 90.00 90.00
Space group I4/mmm (No. 139)
Inequivalent atoms, fractional coordinates:
Mg: 0.000 0.500 0.250 [4 per cell]
Ti: 0.000 0.000 0.076 [4 per cell]
Al: 0.000 0.000 0.500 [2 per cell]

=====

(2)
The following is a PBE calculation of a relaxed structure of Mg2Ti2Al, from Alexandria via LeMat-Bulk.

polymorph energy (0 for the lowest one) = 0 meV per atom

a b c (Å): 6.844 6.844 4.362
angles (deg): 90.00 90.00 90.00
Space group P4/mbm (No. 127)
Inequivalent atoms, fractional coordinates:
Mg: 0.165 0.335 0.000 [4 per cell]
Ti: 0.135 0.635 0.500 [4 per cell]
Al: 0.000 0.000 0.500 [2 per cell]

=====

(3)
The following is a PBE calculation of a relaxed structure of Mg16TiAl12, from Alexandria via LeMat-Bulk.

a b c (Å): 14.9833 14.9833 8.8124
angles (deg): 90.00 90.00 120.00
Space group R3m (No. 160, hexagonal axes)
Inequivalent atoms, fractional coordinates:
Mg: 0.0000 0.0000 0.0000 [3 per cell]
Mg: 0.0338 0.3605 0.3535 [18 per cell]
Mg: 0.1071 0.2142 0.4849 [9 per cell]
Mg: 0.1082 0.5541 0.5418 [9 per cell]
Mg: 0.1982 0.3963 0.1089 [9 per cell]
Ti: 0.0000 0.0000 0.3652 [3 per cell]
Al: 0.0011 0.1793 0.1805 [18 per cell]
Al: 0.1210 0.0605 0.6765 [9 per cell]
Al: 0.2115 0.4230 0.5897 [9 per cell]

=====

(4)
The following is a PBE calculation of a relaxed structure of MgTi2Al2, from Alexandria via LeMat-Bulk.

polymorph energy (0 for the lowest one) = 0 meV per atom

a b c (Å): 7.489 7.489 3.159
angles (deg): 90.00 90.00 90.00
Space group P4/mbm (No. 127)
Inequivalent atoms, fractional coordinates:
Mg: 0.000 0.000 0.000 [2 per cell]
Ti: 0.174 0.326 0.500 [4 per cell]
Al: 0.123 0.623 0.000 [4 per cell]

=====

One value per record, in order, for calculated density: 2.84; 2.79; 2.21; 3.26 g cm⁻³.
One value per record, in order, for ΔH_f (0 K): 381.6; 281.3; -26.0; -177.3 meV/atom.